A relaxed structure of ZrRuAu, computed with PBEsol.

a b c (Å): 4.3778 4.3778 4.3778
angles (deg): 60.00 60.00 60.00
Element x y z (fractional)
Zr (0.0000, 0.0000, 0.0000)
Ru (0.2500, 0.2500, 0.2500)
Au (0.5000, 0.5000, 0.5000)

The magnetic moment is 0.00 μB per cell. For the volume, the calculation gives 19.78 Å³ per atom. For the formation energy, the calculation gives 143.3 meV/atom. The energy above the lowest structure with this stoichiometry comes out at 172 meV/atom.